Record 1
Computed, not measured: a relaxed TcTeOs2 crystal at the GGA-PBEsol level of DFT.

Values from the calculation:
- space-group type = Immm
- formation energy from raw total energies (eV per atom) = 0.666
- ΔE to the lowest computed polymorph (eV per atom) = 0.033

a b c (Å): 5.348 5.348 5.348
angles (deg): 147.45 130.32 60.66
Fractional coordinates of all 4 atoms:
Tc  0.000  0.000  0.000
Te  0.500  0.500  0.000
Os  0.270  0.770  0.500
Os  0.730  0.230  0.500

***

Record 2
Computed, not measured: a relaxed TaAgP2 crystal at the GGA-PBEsol level of DFT.

Values from the calculation:
- space-group type = I-42d
- ΔE to the lowest computed polymorph (eV per atom) = 0.299

a b c (Å): 6.753 6.753 6.753
angles (deg): 130.31 130.31 72.92
Fractional coordinates of all 8 atoms:
Ta  0.000  0.000  0.000
Ta  0.750  0.250  0.500
Ag  0.250  0.750  0.500
Ag  0.500  0.500  0.000
P  0.111  0.625  0.986
P  0.375  0.361  0.486
P  0.639  0.125  0.014
P  0.875  0.889  0.514

***

Record 3
Computed, not measured: a relaxed ZrScCd2 crystal at the GGA-PBEsol level of DFT.

Values from the calculation:
- space-group type = I4/mmm
- ΔE to the lowest computed polymorph (eV per atom) = 0.027

a b c (Å): 5.231 5.231 5.231
angles (deg): 129.49 129.49 74.23
Fractional coordinates of all 4 atoms:
Zr  0.000  0.000  0.000
Sc  0.500  0.500  0.000
Cd  0.250  0.750  0.500
Cd  0.750  0.250  0.500

***

Record 4
Computed, not measured: a relaxed K4TlIn crystal at the GGA-PBEsol level of DFT.

Values from the calculation:
- VASP energy (eV/atom) = -1.419
- space-group type = F-43m

a b c (Å): 7.044 7.044 7.044
angles (deg): 60.00 60.00 60.00
Fractional coordinates of all 6 atoms:
K  0.125  0.125  0.125
K  0.125  0.125  0.626
K  0.125  0.626  0.125
K  0.626  0.125  0.125
Tl  0.500  0.500  0.500
In  0.750  0.750  0.750

***

Record 5
Computed, not measured: a relaxed RbHf2Se2 crystal at the GGA-PBEsol level of DFT.

Values from the calculation:
- space-group type = I4/mmm
- formation energy from raw total energies (eV per atom) = -0.805

a b c (Å): 8.006 8.006 8.006
angles (deg): 150.23 150.23 42.61
Fractional coordinates of all 5 atoms:
Rb  0.000  0.000  0.000
Hf  0.250  0.750  0.500
Hf  0.750  0.250  0.500
Se  0.370  0.370  0.000
Se  0.630  0.630  0.000

***

Record 6
Computed, not measured: a relaxed SiTeIr2 crystal at the GGA-PBEsol level of DFT.

Values from the calculation:
- space-group type = Pmmm
- formation energy from raw total energies (eV per atom) = -0.247
- ΔE to the lowest computed polymorph (eV per atom) = 0.000

a b c (Å): 2.927 2.988 7.457
angles (deg): 90.00 90.00 90.00
Fractional coordinates of all 4 atoms:
Si  0.000  0.000  0.000
Te  0.500  0.000  0.500
Ir  0.500  0.500  0.184
Ir  0.500  0.500  0.816

***

Record 7
Computed, not measured: a relaxed CoOsRh2 crystal at the GGA-PBEsol level of DFT.

Values from the calculation:
- space-group type = R-3m
- ΔE to the lowest computed polymorph (eV per atom) = 0.027

a b c (Å): 8.636 8.636 8.636
angles (deg): 17.69 17.69 17.69
Fractional coordinates of all 4 atoms:
Co  0.000  0.000  0.000
Os  0.500  0.500  0.500
Rh  0.252  0.252  0.252
Rh  0.748  0.748  0.748

***

Record 8
Computed, not measured: a relaxed Rb3ErO3 crystal at the GGA-PBEsol level of DFT.

Values from the calculation:
- space-group type = P2_1/c
- formation energy from raw total energies (eV per atom) = -1.960
- ΔE to the lowest computed polymorph (eV per atom) = 0.000

a b c (Å): 7.690 7.255 11.599
angles (deg): 90.00 93.62 90.00
Fractional coordinates of all 28 atoms:
Rb  0.074  0.124  0.159
Rb  0.074  0.376  0.659
Rb  0.357  0.162  0.921
Rb  0.357  0.338  0.421
Rb  0.377  0.697  0.811
Rb  0.377  0.803  0.311
Rb  0.623  0.197  0.689
Rb  0.623  0.303  0.189
Rb  0.643  0.662  0.579
Rb  0.643  0.838  0.079
Rb  0.926  0.624  0.341
Rb  0.926  0.876  0.841
Er  0.160  0.591  0.070
Er  0.160  0.909  0.570
Er  0.840  0.091  0.430
Er  0.840  0.409  0.930
O  0.115  0.049  0.407
O  0.115  0.451  0.907
O  0.257  0.644  0.549
O  0.257  0.856  0.049
O  0.303  0.056  0.696
O  0.303  0.444  0.196
O  0.697  0.556  0.804
O  0.697  0.944  0.304
O  0.743  0.144  0.951
O  0.743  0.356  0.451
O  0.885  0.549  0.093
O  0.885  0.951  0.593

***

Record 9
Computed, not measured: a relaxed CaPtPb2 crystal at the GGA-PBEsol level of DFT.

Values from the calculation:
- VASP energy (eV/atom) = -4.589
- space-group type = Imm2

a b c (Å): 5.907 5.907 5.907
angles (deg): 141.10 131.26 64.04
Fractional coordinates of all 4 atoms:
Ca  0.000  0.000  0.000
Pt  0.770  0.270  0.500
Pb  0.282  0.782  0.500
Pb  0.564  0.564  0.000

***

Record 10
Computed, not measured: a relaxed ZrHg2As crystal at the GGA-PBEsol level of DFT.

Values from the calculation:
- VASP energy (eV/atom) = -3.904
- space-group type = F-43m

a b c (Å): 4.861 4.861 4.861
angles (deg): 60.00 60.00 60.00
Fractional coordinates of all 4 atoms:
Zr  0.000  0.000  0.000
Hg  0.250  0.250  0.250
Hg  0.500  0.500  0.500
As  0.750  0.750  0.750

***

Record 11
Computed, not measured: a relaxed Li3Al crystal at the GGA-PBEsol level of DFT.

Values from the calculation:
- VASP energy (eV/atom) = -2.575
- space-group type = Pmm2

a b c (Å): 2.890 4.725 4.841
angles (deg): 90.00 90.00 90.00
Fractional coordinates of all 4 atoms:
Li  0.000  0.000  0.000
Li  0.000  0.500  0.386
Li  0.500  0.500  0.867
Al  0.500  0.000  0.500

***

Record 12
Computed, not measured: a relaxed LaHgTe2 crystal at the GGA-PBEsol level of DFT.

Values from the calculation:
- space-group type = I-42d
- formation energy from raw total energies (eV per atom) = -0.570

a b c (Å): 8.680 8.680 8.680
angles (deg): 133.27 133.27 68.23
Fractional coordinates of all 8 atoms:
La  0.000  0.000  0.000
La  0.750  0.250  0.500
Hg  0.250  0.750  0.500
Hg  0.500  0.500  0.000
Te  0.139  0.625  0.014
Te  0.375  0.389  0.514
Te  0.611  0.125  0.986
Te  0.875  0.861  0.486

***

Record 13
Computed, not measured: a relaxed MnAgAu2 crystal at the GGA-PBEsol level of DFT.

Values from the calculation:
- VASP energy (eV/atom) = -5.213
- space-group type = I-4m2

a b c (Å): 4.950 4.950 4.950
angles (deg): 132.60 132.60 69.28
Fractional coordinates of all 4 atoms:
Mn  0.000  0.000  0.000
Ag  0.250  0.750  0.500
Au  0.500  0.500  0.000
Au  0.750  0.250  0.500

***

Record 14
Computed, not measured: a relaxed RbGaPCl2 crystal at the GGA-PBEsol level of DFT.

Values from the calculation:
- space-group type = P4/mmm
- formation energy from raw total energies (eV per atom) = -0.628

a b c (Å): 5.206 5.206 4.681
angles (deg): 90.00 90.00 90.00
Fractional coordinates of all 5 atoms:
Rb  0.000  0.000  0.000
Ga  0.500  0.500  0.500
P  0.500  0.500  0.000
Cl  0.000  0.500  0.500
Cl  0.500  0.000  0.500

***

Record 15
Computed, not measured: a relaxed Zr2CuMo crystal at the GGA-PBEsol level of DFT.

Values from the calculation:
- space-group type = Cmmm
- ΔE to the lowest computed polymorph (eV per atom) = 0.122

a b c (Å): 2.940 2.940 8.450
angles (deg): 90.00 90.00 106.89
Fractional coordinates of all 4 atoms:
Zr  0.000  0.000  0.248
Zr  0.000  0.000  0.752
Cu  0.500  0.500  0.000
Mo  0.500  0.500  0.500

***

Record 16
Computed, not measured: a relaxed Sb6O13 crystal at the GGA-PBEsol level of DFT.

Values from the calculation:
- space-group type = Imm2
- formation energy from raw total energies (eV per atom) = -1.326
- ΔE to the lowest computed polymorph (eV per atom) = 0.008

a b c (Å): 7.317 7.317 7.317
angles (deg): 120.60 120.44 89.10
Fractional coordinates of all 19 atoms:
Sb  0.248  0.000  0.248
Sb  0.253  0.516  0.263
Sb  0.253  0.990  0.737
Sb  0.747  0.498  0.750
Sb  0.747  0.997  0.250
Sb  0.752  0.000  0.752
O  0.070  0.070  0.000
O  0.079  0.059  0.405
O  0.079  0.673  0.019
O  0.164  0.664  0.500
O  0.416  0.326  0.486
O  0.416  0.931  0.091
O  0.426  0.926  0.500
O  0.654  0.059  0.981
O  0.654  0.673  0.595
O  0.678  0.678  0.000
O  0.816  0.316  0.500
O  0.840  0.326  0.909
O  0.840  0.931  0.514

***

Record 17
Computed, not measured: a relaxed IrRu crystal at the GGA-PBEsol level of DFT.

Values from the calculation:
- space-group type = Pm-3m
- ΔE to the lowest computed polymorph (eV per atom) = 0.697

a b c (Å): 3.048 3.048 3.048
angles (deg): 90.00 90.00 90.00
Fractional coordinates of all 2 atoms:
Ir  0.000  0.000  0.000
Ru  0.500  0.500  0.500

***

Record 18
Computed, not measured: a relaxed Ca2CoSi4NiO12 crystal at the GGA-PBEsol level of DFT.

Values from the calculation:
- space-group type = C2
- formation energy from raw total energies (eV per atom) = -2.462

a b c (Å): 6.594 6.594 5.231
angles (deg): 101.65 101.65 84.28
Fractional coordinates of all 20 atoms:
Ca  0.000  0.000  0.000
Ca  0.593  0.407  0.500
Co  0.205  0.795  0.500
Si  0.103  0.323  0.524
Si  0.490  0.085  0.977
Si  0.677  0.897  0.476
Si  0.915  0.510  0.023
Ni  0.387  0.613  0.000
O  0.094  0.675  0.105
O  0.190  0.090  0.430
O  0.269  0.502  0.610
O  0.325  0.906  0.895
O  0.403  0.318  0.072
O  0.498  0.731  0.390
O  0.629  0.075  0.741
O  0.670  0.037  0.242
O  0.682  0.597  0.928
O  0.910  0.810  0.570
O  0.925  0.371  0.259
O  0.963  0.330  0.758

***

Record 19
Computed, not measured: a relaxed SiAgMo2 crystal at the GGA-PBEsol level of DFT.

Values from the calculation:
- space-group type = R3m
- formation energy from raw total energies (eV per atom) = 0.247

a b c (Å): 9.159 9.159 9.159
angles (deg): 17.54 17.54 17.54
Fractional coordinates of all 4 atoms:
Si  0.000  0.000  0.000
Ag  0.749  0.749  0.749
Mo  0.258  0.258  0.258
Mo  0.507  0.507  0.507

***

Record 20
Computed, not measured: a relaxed BaHgRu2 crystal at the GGA-PBEsol level of DFT.

Values from the calculation:
- VASP energy (eV/atom) = -4.940
- space-group type = P4/mmm

a b c (Å): 3.549 3.549 6.897
angles (deg): 90.00 90.00 90.00
Fractional coordinates of all 4 atoms:
Ba  0.000  0.000  0.000
Hg  0.000  0.000  0.500
Ru  0.500  0.500  0.324
Ru  0.500  0.500  0.676

***

Record 21
Computed, not measured: a relaxed RbTlGa3 crystal at the GGA-PBEsol level of DFT.

Values from the calculation:
- VASP energy (eV/atom) = -2.315
- space-group type = Pm-3m

a b c (Å): 5.508 5.508 5.508
angles (deg): 90.00 90.00 90.00
Fractional coordinates of all 5 atoms:
Rb  0.000  0.000  0.000
Tl  0.500  0.500  0.500
Ga  0.000  0.500  0.500
Ga  0.500  0.000  0.500
Ga  0.500  0.500  0.000

***

Record 22
Computed, not measured: a relaxed NaHf2MgTi crystal at the GGA-PBEsol level of DFT.

Values from the calculation:
- VASP energy (eV/atom) = -4.935
- space-group type = P4/mmm

a b c (Å): 4.951 4.951 4.697
angles (deg): 90.00 90.00 90.00
Fractional coordinates of all 5 atoms:
Na  0.000  0.000  0.000
Hf  0.000  0.500  0.000
Hf  0.500  0.000  0.000
Mg  0.500  0.500  0.500
Ti  0.000  0.000  0.500

***

Record 23
Computed, not measured: a relaxed LaInBr2 crystal at the GGA-PBEsol level of DFT.

Values from the calculation:
- space-group type = R-3m
- formation energy from raw total energies (eV per atom) = -1.112
- ΔE to the lowest computed polymorph (eV per atom) = 0.002

a b c (Å): 10.304 10.304 10.304
angles (deg): 20.64 20.64 20.64
Fractional coordinates of all 4 atoms:
La  0.000  0.000  0.000
In  0.500  0.500  0.500
Br  0.263  0.263  0.263
Br  0.737  0.737  0.737

***

Record 24
Computed, not measured: a relaxed CuAsPd3 crystal at the GGA-PBEsol level of DFT.

Values from the calculation:
- VASP energy (eV/atom) = -4.657
- space-group type = Pm-3m

a b c (Å): 4.480 4.480 4.480
angles (deg): 90.00 90.00 90.00
Fractional coordinates of all 5 atoms:
Cu  0.000  0.000  0.000
As  0.500  0.500  0.500
Pd  0.000  0.000  0.500
Pd  0.000  0.500  0.000
Pd  0.500  0.000  0.000

***

Record 25
Computed, not measured: a relaxed LuSi2Pt2 crystal at the GGA-PBEsol level of DFT.

Values from the calculation:
- space-group type = I4/mmm
- formation energy from raw total energies (eV per atom) = -1.027

a b c (Å): 5.693 5.693 5.693
angles (deg): 137.93 137.93 61.02
Fractional coordinates of all 5 atoms:
Lu  0.000  0.000  0.000
Si  0.385  0.385  0.000
Si  0.615  0.615  0.000
Pt  0.250  0.750  0.500
Pt  0.750  0.250  0.500

***

Record 26
Computed, not measured: a relaxed Mo2RuPt crystal at the GGA-PBEsol level of DFT.

Values from the calculation:
- space-group type = Cmmm
- ΔE to the lowest computed polymorph (eV per atom) = 0.042

a b c (Å): 4.759 4.759 2.731
angles (deg): 90.00 90.00 109.98
Fractional coordinates of all 4 atoms:
Mo  0.000  0.500  0.000
Mo  0.500  0.000  0.000
Ru  0.000  0.000  0.500
Pt  0.500  0.500  0.500